Model one:
Computed, not measured: a relaxed structure of TiNb3Cd at the GGA-PBE level of DFT.

```
data_TiNb3Cd
_chemical_formula_sum 'Ti1 Nb3 Cd1'
_cell_length_a 4.9807
_cell_length_b 4.9807
_cell_length_c 4.9807
_cell_angle_alpha 90.00
_cell_angle_beta 90.00
_cell_angle_gamma 90.00
_symmetry_space_group_name_H-M 'P m -3 m'
_symmetry_Int_Tables_number 221
_symmetry_space_group_name_Hall '-P 4 2 3'
loop_
_atom_site_label
_atom_site_type_symbol
_atom_site_fract_x
_atom_site_fract_y
_atom_site_fract_z
Ti1 Ti 0.0000 0.0000 0.0000
Nb1 Nb 0.0000 0.5000 0.5000
Cd1 Cd 0.5000 0.5000 0.5000
```


Model two:
Computed, not measured: a relaxed structure of TiNb3Cd at the GGA-PBE level of DFT.

```
data_TiNb3Cd
_chemical_formula_sum 'Ti1 Nb3 Cd1'
_cell_length_a 4.7340
_cell_length_b 4.7340
_cell_length_c 4.7340
_cell_angle_alpha 90.00
_cell_angle_beta 90.00
_cell_angle_gamma 90.00
_symmetry_space_group_name_H-M 'P m -3 m'
_symmetry_Int_Tables_number 221
_symmetry_space_group_name_Hall '-P 4 2 3'
loop_
_atom_site_label
_atom_site_type_symbol
_atom_site_fract_x
_atom_site_fract_y
_atom_site_fract_z
Ti1 Ti 0.0000 0.0000 0.0000
Nb1 Nb 0.0000 0.0000 0.5000
Cd1 Cd 0.5000 0.5000 0.5000
```


Relative to the most stable one, in eV/atom, the structures come out at model one 0.881; model two 0.000.